First-principles (PBE-GGA) data for Li2SnAu2 after structural relaxation, as listed in Alexandria.

```
Li2SnAu2
1.0
5.811 -2.298 0.000
5.811 2.298 0.000
-3.391 0.000 7.086
Li Sn Au
4 2 4
Direct
0.032 0.032 0.347
0.186 0.186 0.039
0.814 0.814 0.961
0.968 0.968 0.653
0.286 0.286 0.709
0.714 0.714 0.291
0.365 0.365 0.410
0.439 0.439 0.117
0.561 0.561 0.883
0.635 0.635 0.590
```

Properties
**Crystal system**: monoclinic
**Symmetry**: C2/m (12)
**Calculated total energy**: -3.28 eV/atom
**Total moment**: 0.00 μB/f.u.


First-principles (PBE-GGA) data for LiSnAu3 after structural relaxation, as listed in Alexandria.

```
LiSnAu3
1.0
3.675 0.000 0.000
-1.818 7.099 0.000
-0.037 -3.294 7.882
Li Sn Au
2 2 6
Direct
0.124 0.247 0.216
0.876 0.753 0.784
0.086 0.175 0.760
0.914 0.825 0.240
0.230 0.459 0.615
0.326 0.652 0.970
0.427 0.857 0.588
0.573 0.143 0.412
0.674 0.348 0.030
0.770 0.541 0.385
```

Properties
**Crystal system**: triclinic
**Symmetry**: P-1 (2)
**Calculated total energy**: -3.37 eV/atom
**Total moment**: 0.00 μB/f.u.


First-principles (PBE-GGA) data for Li2SnAu2 after structural relaxation, as listed in Alexandria.

```
Li2SnAu2
1.0
4.646 0.000 0.000
-2.323 4.024 0.000
0.000 0.000 5.484
Li Sn Au
2 1 2
Direct
0.333 0.667 0.157
0.667 0.333 0.843
0.000 0.000 0.500
0.333 0.667 0.678
0.667 0.333 0.322
```

Properties
**Crystal system**: trigonal
**Symmetry**: P-3m1 (164)
**Calculated total energy**: -3.23 eV/atom
**Total moment**: 0.00 μB/f.u.


First-principles (PBE-GGA) data for Li3Sn3Au2 after structural relaxation, as listed in Alexandria.

```
Li3Sn3Au2
1.0
2.324 -5.028 0.000
2.324 5.028 0.000
0.000 0.000 14.499
Li Sn Au
6 6 4
Direct
0.078 0.922 0.603
0.078 0.922 0.897
0.282 0.718 0.750
0.718 0.282 0.250
0.922 0.078 0.103
0.922 0.078 0.397
0.384 0.616 0.560
0.384 0.616 0.940
0.428 0.572 0.250
0.572 0.428 0.750
0.616 0.384 0.060
0.616 0.384 0.440
0.231 0.769 0.118
0.231 0.769 0.382
0.769 0.231 0.618
0.769 0.231 0.882
```

Properties
**Crystal system**: orthorhombic
**Symmetry**: Cmcm (63)
**Calculated total energy**: -3.38 eV/atom
**Total moment**: 0.00 μB/f.u.


First-principles (PBE-GGA) data for Li7SnAu2 after structural relaxation, as listed in Alexandria.

```
Li7SnAu2
1.0
3.789 -6.479 0.000
3.789 6.479 0.000
0.000 0.000 4.456
Li Sn Au
7 1 2
Direct
0.000 0.000 0.000
0.202 0.437 0.000
0.280 0.720 0.500
0.437 0.202 0.000
0.563 0.798 0.000
0.720 0.280 0.500
0.798 0.563 0.000
0.500 0.500 0.500
0.198 0.802 0.000
0.802 0.198 0.000
```

Properties
**Crystal system**: orthorhombic
**Symmetry**: Cmmm (65)
**Calculated total energy**: -2.60 eV/atom
**Total moment**: 0.00 μB/f.u.


First-principles (PBE-GGA) data for Li4Sn3Au2 after structural relaxation, as listed in Alexandria.

```
Li4Sn3Au2
1.0
4.883 0.000 0.000
2.424 4.477 0.000
0.775 1.300 7.796
Li Sn Au
4 3 2
Direct
0.135 0.269 0.161
0.324 0.851 0.513
0.676 0.149 0.487
0.865 0.731 0.839
0.000 0.500 0.500
0.458 0.621 0.177
0.542 0.379 0.823
0.217 0.032 0.835
0.783 0.968 0.165
```

Properties
**Crystal system**: triclinic
**Symmetry**: P-1 (2)
**Calculated total energy**: -3.29 eV/atom
**Total moment**: 0.00 μB/f.u.


First-principles (PBE-GGA) data for SrLi4Sn2Au after structural relaxation, as listed in Alexandria.

```
SrLi4Sn2Au
1.0
2.338 1.350 9.186
-2.338 1.350 9.186
0.000 -2.700 9.186
Sr Li Sn Au
1 4 2 1
Direct
0.000 0.000 0.000
0.137 0.137 0.137
0.410 0.410 0.410
0.590 0.590 0.590
0.863 0.863 0.863
0.245 0.245 0.245
0.755 0.755 0.755
0.500 0.500 0.500
```

Properties
**Crystal system**: trigonal
**Symmetry**: R-3m (166)
**Calculated total energy**: -2.97 eV/atom
**Total moment**: 0.00 μB/f.u.


First-principles (PBE-GGA) data for Sr2Li3SnAu12 after structural relaxation, as listed in Alexandria.

```
Sr2Li3SnAu12
1.0
3.479 2.009 9.614
-3.479 2.009 9.614
0.000 -4.018 9.614
Sr Li Sn Au
2 3 1 12
Direct
0.139 0.139 0.139
0.861 0.861 0.861
0.000 0.500 0.500
0.500 0.000 0.500
0.500 0.500 0.000
0.500 0.500 0.500
0.080 0.616 0.616
0.094 0.094 0.684
0.094 0.684 0.094
0.316 0.906 0.906
0.384 0.384 0.920
0.384 0.920 0.384
0.616 0.080 0.616
0.616 0.616 0.080
0.684 0.094 0.094
0.906 0.316 0.906
0.906 0.906 0.316
0.920 0.384 0.384
```

Properties
**Crystal system**: trigonal
**Symmetry**: R-3m (166)
**Calculated total energy**: -3.24 eV/atom
**Total moment**: 0.00 μB/f.u.